A plane-wave DFT calculation with PBE-GGA was carried out for a geometry-optimized La2Pm6Dy structure.

```
La2Pm6Dy
1.0
6.5457 -0.3346 1.6993
2.1953 9.5969 0.1948
-0.8392 -1.5726 9.6841
La Pm Dy
4 12 2
direct
0.1302 0.6194 0.6662
0.3698 0.3338 0.3806
0.8698 0.3806 0.3338
0.6302 0.6662 0.6194
0.5179 0.6429 0.2636
0.9821 0.7364 0.3571
0.4821 0.3571 0.7364
0.0179 0.2636 0.6429
0.7062 0.0732 0.4585
0.7938 0.5415 0.9268
0.2938 0.9268 0.5415
0.2062 0.4585 0.0732
0.3174 0.7651 0.9630
0.1826 0.0370 0.2349
0.6826 0.2349 0.0370
0.8174 0.9630 0.7651
0.2500 0.1096 0.8904
0.7500 0.8904 0.1096
```

Output
**Formation enthalpy at 0 K**: 0.1108 eV per atom
**Symmetry**: C2/c
**Relative energy among the computed polymorphs**: 0.44 eV/f.u.
**D(E_F)**: 1.50 states/eV per atom